# 1
## Sr6Ge2Bi (GGA-PBE)

Data for a relaxed structure of Sr6Ge2Bi.

The raw total energy is -3.134 eV per atom. As for the formation energy: -0.555 eV per atom. The crystal system is orthorhombic.

The structure belongs to space group Immm (No. 71); the cell edges are 10.424, 11.064 and 11.572 Å and the angles 90.00°, 90.00° and 90.00°. The inequivalent atoms are Sr at (0.000, 0.213, 0.229), Sr at (0.199, 0.500, 0.177), Sr at (0.219, 0.314, 0.500), Ge at (0.000, 0.375, 0.000), Ge at (0.000, 0.500, 0.388), Bi at (0.000, 0.000, 0.000) and Bi at (0.000, 0.000, 0.500).

***

# 2
## Pm3Dy2Pb3 (GGA-PBE)

Data for a relaxed structure of Pm3Dy2Pb3.

The calculation puts the distance to the lowest polymorph of the same formula at 0.00 eV per formula unit. The raw total energy is -4.874 eV per atom. As for the formation energy: -0.551 eV per atom. The crystal system is hexagonal.

The structure belongs to space group P6_3/mcm (No. 193); the cell edges are 9.2254, 9.2254 and 6.7332 Å and the angles 90.00°, 90.00° and 120.00°. The inequivalent atoms are Pm at (0.0000, 0.2391, 0.2500), Dy at (0.3333, 0.6667, 0.0000) and Pb at (0.0000, 0.3972, 0.7500).

***

# 3
## YCrIr (GGA-PBE)

Data for a relaxed structure of YCrIr.

The calculation puts the distance to the lowest polymorph of the same formula at 2.67 eV per formula unit. The raw total energy is -7.656 eV per atom. As for the formation energy: 0.661 eV per atom. The crystal system is cubic.

The structure belongs to space group F-43m (No. 216); the cell edges are 6.483, 6.483 and 6.483 Å and the angles 90.00°, 90.00° and 90.00°. The inequivalent atoms are Y at (0.000, 0.000, 0.000), Cr at (0.250, 0.250, 0.250) and Ir at (0.250, 0.250, 0.750).

***

# 4
## Ga6AgAu12 (GGA-PBE)

Data for a relaxed structure of Ga6AgAu12.

The calculation puts the distance to the lowest polymorph of the same formula at 0.00 eV per formula unit. The raw total energy is -3.251 eV per atom. As for the formation energy: -0.075 eV per atom. The crystal system is trigonal.

The structure belongs to space group R-3m (No. 166, hexagonal axes); the cell edges are 12.4996, 12.4996 and 8.1397 Å and the angles 90.00°, 90.00° and 120.00°. The inequivalent atoms are Ga at (0.0553, 0.5277, 0.2331), Ag at (0.0000, 0.0000, 0.0000), Au at (0.0000, 0.3832, 0.5000) and Au at (0.0772, 0.1545, 0.2862).

***

# 5
## Y2TcN4 (GGA-PBE)

Data for a relaxed structure of Y2TcN4.

The raw total energy is -8.906 eV per atom. Its uncorrected formation energy is -821 meV/atom. The crystal system is monoclinic.

The structure belongs to space group P2_1/m (No. 11); the cell edges are 5.806, 5.820 and 6.514 Å and the angles 90.00°, 107.52° and 90.00°. The inequivalent atoms are Y at (0.169, 0.250, 0.036), Y at (0.234, 0.250, 0.557), Tc at (0.290, 0.750, 0.813), N at (0.044, 0.515, 0.754), N at (0.467, 0.750, 0.091) and N at (0.482, 0.750, 0.640).

***

# 6
## NaTl2Cu3Br8 (GGA-PBE)

Data for a relaxed structure of NaTl2Cu3Br8.

The raw total energy is -2.802 eV per atom. Its uncorrected formation energy is -536 meV/atom. The crystal system is trigonal.

The structure belongs to space group R3m (No. 160, hexagonal axes); the cell edges are 8.1174, 8.1174 and 23.4499 Å and the angles 90.00°, 90.00° and 120.00°. The inequivalent atoms are Na at (0.0000, 0.0000, 0.0000), Tl at (0.0000, 0.0000, 0.2302), Tl at (0.0000, 0.0000, 0.6087), Cu at (0.0178, 0.5089, 0.1029), Br at (0.0000, 0.0000, 0.3661), Br at (0.0000, 0.0000, 0.8818), Br at (0.0398, 0.5199, 0.3894) and Br at (0.1874, 0.3749, 0.1610).